[1]
Compound: BaTl4
Source: the Alexandria database
Functional: GGA-PBE
Structure: optimized geometry

Computed properties:
uncorrected energy: -2.48 eV per atom
size of the total moment: 0.000 μB/f.u.

Cell and atoms, written as extended XYZ:
```
10
Lattice="5.263 0.000 -1.516 0.000 7.146 0.000 -0.262 0.000 8.984" Properties=species:S:1:pos:R:3 pbc="T T T"
Tl 4.063 3.592 4.213
Tl 3.195 1.786 1.197
Tl 4.063 7.126 4.213
Tl 0.938 0.019 3.255
Tl 0.938 3.553 3.255
Tl 1.806 5.359 6.271
Tl 0.000 0.000 0.000
Ba 3.102 5.359 0.874
Tl 0.000 3.573 0.000
Ba 1.899 1.786 6.594
```

***

[2]
Compound: BaTl
Source: the Alexandria database
Functional: GGA-PBE
Structure: optimized geometry

Computed properties:
uncorrected energy: -2.25 eV per atom
size of the total moment: 0.000 μB/f.u.

Cell and atoms, written as extended XYZ:
```
16
Lattice="13.064 0.000 0.000 0.000 13.064 0.000 0.000 0.000 4.306" Properties=species:S:1:pos:R:3 pbc="T T T"
Tl 4.521 7.376 2.153
Ba 4.492 1.819 0.000
Ba 8.572 11.245 0.000
Ba 4.713 11.024 2.153
Ba 1.819 8.572 0.000
Tl 2.011 12.219 0.000
Ba 11.024 8.351 2.153
Ba 11.245 4.492 0.000
Tl 12.219 11.053 0.000
Tl 8.543 5.687 2.153
Ba 2.040 4.713 2.153
Tl 7.376 8.543 2.153
Tl 5.687 4.521 2.153
Ba 8.351 2.040 2.153
Tl 11.053 0.845 0.000
Tl 0.845 2.011 0.000
```

***

[3]
Compound: Ba6Tl5
Source: the Alexandria database
Functional: GGA-PBE
Structure: optimized geometry

Computed properties:
uncorrected energy: -2.48 eV per atom
size of the total moment: 0.000 μB/f.u.

Cell and atoms, written as extended XYZ:
```
11
Lattice="0.378 5.833 1.480 -2.453 2.184 -7.983 -7.615 -4.116 5.881" Properties=species:S:1:pos:R:3 pbc="T T T"
Tl -6.887 1.022 -2.271
Ba -0.435 3.473 -1.290
Tl -2.803 2.880 1.649
Ba -1.641 4.545 -5.213
Tl -4.021 3.972 -2.345
Tl -5.670 -0.070 1.723
Ba -5.014 2.297 4.510
Tl -1.227 1.092 -3.991
Ba -3.446 0.509 -1.128
Ba -4.677 1.605 -5.132
Ba -6.244 3.392 0.506
```

***

[4]
Compound: Ba3Tl2
Source: the Alexandria database
Functional: GGA-PBE
Structure: optimized geometry

Computed properties:
uncorrected energy: -2.35 eV per atom
size of the total moment: 0.002 μB/f.u.

Cell and atoms, written as extended XYZ:
```
10
Lattice="8.208 0.000 0.000 4.104 7.108 0.000 4.104 2.369 8.183" Properties=species:S:1:pos:R:3 pbc="T T T"
Ba 7.534 7.108 6.137
Ba 5.819 5.340 2.046
Tl 4.104 2.369 3.528
Tl 12.312 7.108 4.655
Tl 12.312 7.108 7.619
Ba 9.923 6.507 2.046
Ba 6.493 2.971 6.137
Tl 4.104 2.369 0.564
Ba 8.882 2.369 2.046
Ba 10.597 4.138 6.137
```

***

| no. | V (Å³/cell) |
| --- | --- |
| 1 | 335 |
| 2 | 735 |
| 3 | 471 |
| 4 | 477 |